VASP calculation (SCAN) on a PBEsol-optimized structure of TlRePt.

a = 6.189 Å, b = 6.189 Å, c = 6.189 Å
α = 90.00°, β = 90.00°, γ = 90.00°
Space group F-43m (No. 216)
Symmetry-distinct sites (fractional):
Tl  0.000  0.000  0.000 (multiplicity 4)
Re  0.000  0.000  0.500 (multiplicity 4)
Pt  0.250  0.250  0.250 (multiplicity 4)

VASP calculation (SCAN) on a PBEsol-optimized structure of TlRePt2.

a = 5.577 Å, b = 8.301 Å, c = 2.798 Å
α = 90.00°, β = 90.00°, γ = 90.00°
Space group Cmmm (No. 65)
Symmetry-distinct sites (fractional):
Tl  0.000  0.000  0.000 (multiplicity 2)
Re  0.000  0.500  0.000 (multiplicity 2)
Pt  0.250  0.250  0.500 (multiplicity 4)

Computed properties:
Energy relative to the lowest polymorph listed for this composition, eV per atom: 0.0000

VASP calculation (SCAN) on a PBEsol-optimized structure of Tl2RePt.

a = 2.900 Å, b = 4.714 Å, c = 11.616 Å
α = 90.00°, β = 90.00°, γ = 90.00°
Space group Imm2 (No. 44)
Symmetry-distinct sites (fractional):
Tl  0.000  0.000  0.000 (multiplicity 2)
Tl  0.000  0.500  0.215 (multiplicity 2)
Re  0.000  0.000  0.494 (multiplicity 2)
Pt  0.000  0.500  0.804 (multiplicity 2)

Computed properties:
Energy relative to the lowest polymorph listed for this composition, eV per atom: 0.0000

VASP calculation (SCAN) on a PBEsol-optimized structure of TlRe2Pt.

a = 5.369 Å, b = 8.496 Å, c = 2.835 Å
α = 90.00°, β = 90.00°, γ = 90.00°
Space group Cmmm (No. 65)
Symmetry-distinct sites (fractional):
Tl  0.000  0.000  0.000 (multiplicity 2)
Re  0.250  0.250  0.500 (multiplicity 4)
Pt  0.000  0.500  0.000 (multiplicity 2)

Computed properties:
Energy relative to the lowest polymorph listed for this composition, eV per atom: 0.1667

What did we get for final energy? Answer: -845.13; -564.62; -566.71; -562.66 eV for the cell shown, in the order shown.